First-principles (PBE-GGA) data for crystalline KTiP2N at its relaxed geometry, as listed in Alexandria via LeMat-Bulk.

Cell lengths 5.3001, 5.3001, 4.8785 Å; angles 90.00, 90.00, 90.00 degrees
Element x y z (fractional)
K 0.0000 0.0000 0.0000
Ti 0.0000 0.0000 0.5000
P 0.0000 0.5000 0.0000
P 0.5000 0.0000 0.0000
N 0.5000 0.5000 0.5000

Calculated values
- raw formation energy (meV/atom) = 2940
- space group = P4/mmm, No. 123
- raw total energy (eV/atom) = -2.69
- D(E_F) (states/eV/cell) = 6.53